Na3Be, relaxed, DFT PBE; formation enthalpy at 0 K = 194.3 kJ/mol of formula units; Fermi-level density of states = 1.758 states/eV/f.u.; crystal system = tetragonal; space group = I4/mmm, No. 139; V = 25.53 A^3/atom; calculated density = 1.3 g/cm³; calculated total energy = -1.4175 eV/atom
1.0
-5.246 0.028 1.262
-0.977 -5.253 -0.755
3.923 1.975 3.135
Na Be
3 1
direct
0.500 0.500 0.000
0.250 0.750 0.500
0.750 0.250 0.500
0.000 0.000 0.000

=====

Cs3Na2PmBr9, relaxed, DFT PBE; formation energy (no corrections) = -155.2 kJ/mol of atoms; Fermi-level density of states = 15.686 states/eV/f.u.; crystal system = trigonal; space group = P-3m1, No. 164; V = 39.09 A^3/atom; calculated density = 3.7 g/cm³; calculated total energy = -3.2760 eV/atom
1.0
8.089 0.000 0.000
-4.044 7.005 0.000
0.000 0.000 10.348
Br Na Cs Pm
9 2 3 1
direct
0.500 0.000 0.000
0.166 0.332 0.339
0.332 0.166 0.661
0.834 0.668 0.661
0.500 0.500 0.000
0.000 0.500 0.000
0.166 0.834 0.339
0.668 0.834 0.339
0.834 0.166 0.661
0.333 0.667 0.168
0.667 0.333 0.832
0.000 0.000 0.000
0.333 0.667 0.676
0.667 0.333 0.324
0.000 0.000 0.500

=====

TbTlSnHg, relaxed, DFT PBE; formation enthalpy at 0 K = -145.1 kJ/mol of formula units; polymorph energy (0 for the lowest one) = 0.00 kJ/mol of atoms; Fermi-level density of states = 1.474 states/eV/f.u.; crystal system = orthorhombic; space group = Pmmm, No. 47; V = 25.68 A^3/atom; calculated density = 11.0 g/cm³; calculated total energy = -3.2012 eV/atom
1.0
-2.022 -4.099 0.269
1.470 -1.018 -4.467
3.933 -1.828 1.711
Tl Sn Tb Hg
1 1 1 1
direct
0.000 0.500 0.500
0.000 0.000 0.000
0.500 0.000 0.500
0.500 0.500 0.000

=====

Number 1: size of the total moment 0.0 μB/f.u.. Number 2: size of the total moment 1.0 μB/f.u.. Number 3: size of the total moment 0.0 μB/f.u..